# CsCr2BiO8

Crystalline CsCr2BiO8 at its relaxed geometry (PBE+U, the Alexandria database).

Results
E_tot	-6.3472	eV/atom
size of the total moment	0.0	μB per formula unit

a b c (Å): 5.6603 5.6603 8.7850
angles (deg): 90.00 90.00 120.00
Positions (direct):
Cs (0.0000, 0.0000, 0.0000)
Cr (0.3333, 0.6667, 0.7267)
Cr (0.6667, 0.3333, 0.2733)
Bi (0.0000, 0.0000, 0.5000)
O (0.0914, 0.3575, 0.6654)
O (0.2662, 0.9086, 0.6654)
O (0.3333, 0.6667, 0.9119)
O (0.3575, 0.2662, 0.3346)
O (0.6425, 0.7338, 0.6654)
O (0.6667, 0.3333, 0.0881)
O (0.7338, 0.0914, 0.3346)
O (0.9086, 0.6425, 0.3346)